No. 1
# CsZn3Rh (PBE, relaxed)
data_CsZn3Rh
_symmetry_space_group_name_H-M 'P 1'
_symmetry_Int_Tables_number 1
_cell_length_a 5.025
_cell_length_b 5.025
_cell_length_c 5.025
_cell_angle_alpha 90.00
_cell_angle_beta 90.00
_cell_angle_gamma 90.00
loop_
_symmetry_equiv_pos_as_xyz
'x,y,z'
loop_
_atom_site_label
_atom_site_type_symbol
_atom_site_fract_x
_atom_site_fract_y
_atom_site_fract_z
Cs1 Cs 0.000 0.000 0.000
Zn1 Zn 0.000 0.500 0.500
Zn2 Zn 0.500 0.000 0.500
Zn3 Zn 0.500 0.500 0.000
Rh1 Rh 0.500 0.500 0.500
# ΔH_f (0 K) = -0.086 eV per atom
# Relative energy among the computed polymorphs = 0.000 eV/atom
# ρ = 5.65 g/cm3
# Calculated total energy = -2.49 eV per atom


No. 2
# Er6PdSe5 (PBE, relaxed)
data_Er6PdSe5
_symmetry_space_group_name_H-M 'P 1'
_symmetry_Int_Tables_number 1
_cell_length_a 7.044
_cell_length_b 7.044
_cell_length_c 7.012
_cell_angle_alpha 99.73
_cell_angle_beta 99.73
_cell_angle_gamma 120.07
loop_
_symmetry_equiv_pos_as_xyz
'x,y,z'
loop_
_atom_site_label
_atom_site_type_symbol
_atom_site_fract_x
_atom_site_fract_y
_atom_site_fract_z
Er1 Er 0.078 0.403 0.240
Er2 Er 0.242 0.242 0.753
Er3 Er 0.403 0.078 0.240
Er4 Er 0.597 0.922 0.760
Er5 Er 0.758 0.758 0.247
Er6 Er 0.922 0.597 0.760
Pd1 Pd 0.000 0.000 0.000
Se1 Se 0.174 0.826 0.500
Se2 Se 0.335 0.665 0.000
Se3 Se 0.500 0.500 0.500
Se4 Se 0.665 0.335 0.000
Se5 Se 0.826 0.174 0.500
# Uncorrected formation energy = -1.581 eV per atom
# ρ = 8.82 g/cm3
# Calculated total energy = -5.75 eV per atom


No. 3
# AcAu5S4 (PBE, relaxed)
data_AcAu5S4
_symmetry_space_group_name_H-M 'P 1'
_symmetry_Int_Tables_number 1
_cell_length_a 4.688
_cell_length_b 7.488
_cell_length_c 7.670
_cell_angle_alpha 71.92
_cell_angle_beta 87.03
_cell_angle_gamma 83.56
loop_
_symmetry_equiv_pos_as_xyz
'x,y,z'
loop_
_atom_site_label
_atom_site_type_symbol
_atom_site_fract_x
_atom_site_fract_y
_atom_site_fract_z
Ac1 Ac 0.000 0.000 0.000
Au1 Au 0.000 0.000 0.500
Au2 Au 0.180 0.514 0.782
Au3 Au 0.423 0.248 0.504
Au4 Au 0.577 0.752 0.496
Au5 Au 0.820 0.486 0.218
S1 S 0.171 0.234 0.243
S2 S 0.487 0.240 0.808
S3 S 0.513 0.760 0.192
S4 S 0.829 0.766 0.757
# Uncorrected formation energy = -0.532 eV per atom
# ρ = 8.75 g/cm3
# Calculated total energy = -4.23 eV per atom


No. 4
# K3CeEr3Te8 (PBE, relaxed)
data_K3CeEr3Te8
_symmetry_space_group_name_H-M 'P 1'
_symmetry_Int_Tables_number 1
_cell_length_a 9.807
_cell_length_b 9.807
_cell_length_c 9.807
_cell_angle_alpha 53.82
_cell_angle_beta 53.82
_cell_angle_gamma 53.82
loop_
_symmetry_equiv_pos_as_xyz
'x,y,z'
loop_
_atom_site_label
_atom_site_type_symbol
_atom_site_fract_x
_atom_site_fract_y
_atom_site_fract_z
K1 K 0.000 0.500 0.500
K2 K 0.500 0.000 0.500
K3 K 0.500 0.500 0.000
Ce1 Ce 0.500 0.500 0.500
Er1 Er 0.000 0.000 0.500
Er2 Er 0.000 0.500 0.000
Er3 Er 0.500 0.000 0.000
Te1 Te 0.231 0.738 0.738
Te2 Te 0.235 0.235 0.235
Te3 Te 0.262 0.262 0.769
Te4 Te 0.262 0.769 0.262
Te5 Te 0.738 0.231 0.738
Te6 Te 0.738 0.738 0.231
Te7 Te 0.765 0.765 0.765
Te8 Te 0.769 0.262 0.262
# Uncorrected formation energy = -1.339 eV per atom
# ρ = 5.18 g/cm3
# Calculated total energy = -4.54 eV per atom


No. 5
# Pr2Dy2Ho2Mg (PBE, relaxed)
data_Pr2Dy2Ho2Mg
_symmetry_space_group_name_H-M 'P 1'
_symmetry_Int_Tables_number 1
_cell_length_a 6.363
_cell_length_b 6.363
_cell_length_c 11.633
_cell_angle_alpha 117.50
_cell_angle_beta 117.50
_cell_angle_gamma 33.47
loop_
_symmetry_equiv_pos_as_xyz
'x,y,z'
loop_
_atom_site_label
_atom_site_type_symbol
_atom_site_fract_x
_atom_site_fract_y
_atom_site_fract_z
Pr1 Pr 0.028 0.028 0.246
Pr2 Pr 0.972 0.972 0.754
Dy1 Dy 0.181 0.181 0.587
Dy2 Dy 0.819 0.819 0.413
Ho1 Ho 0.245 0.245 0.126
Ho2 Ho 0.755 0.755 0.874
Mg1 Mg 0.500 0.500 0.000
# ΔH_f (0 K) = 0.089 eV per atom
# ρ = 7.01 g/cm3
# Calculated total energy = -4.13 eV per atom


No. 6
# NiP (PBE, relaxed)
data_NiP
_symmetry_space_group_name_H-M 'P 1'
_symmetry_Int_Tables_number 1
_cell_length_a 3.315
_cell_length_b 3.315
_cell_length_c 3.315
_cell_angle_alpha 60.00
_cell_angle_beta 60.00
_cell_angle_gamma 60.00
loop_
_symmetry_equiv_pos_as_xyz
'x,y,z'
loop_
_atom_site_label
_atom_site_type_symbol
_atom_site_fract_x
_atom_site_fract_y
_atom_site_fract_z
Ni1 Ni 0.000 0.000 0.000
P1 P 0.500 0.500 0.500
# ΔH_f (0 K) = -0.111 eV per atom
# ρ = 5.78 g/cm3
# Calculated total energy = -5.71 eV per atom